Density functional theory data (GGA-PBE) for an optimized crystal structure of YCu3Cl.

abc: 5.298 5.298 5.298
angles: 90.00 90.00 90.00
Fractional positions:
Y  0.000  0.000  0.000
Cu  0.000  0.500  0.000
Cu  0.000  0.000  0.500
Cu  0.500  0.000  0.000
Cl  0.500  0.500  0.500

Crystal system: cubic
Formation energy without anion corrections, eV per atom: 1.11
Distance to the lowest polymorph of the same formula, meV per atom: 571
Mass density, g/cm³: 3.52

---

Density functional theory data (GGA-PBE) for an optimized crystal structure of DyTmLu2.

abc: 3.485 3.485 11.505
angles: 81.29 81.29 60.00
Fractional positions:
Lu  0.750  0.750  0.751
Lu  0.250  0.250  0.249
Tm  0.000  0.000  0.000
Dy  0.500  0.500  0.500

Crystal system: trigonal
Energy relative to the elements, eV/atom: 0.03
Distance to the lowest polymorph of the same formula, meV per atom: 2
Mass density, g/cm³: 9.50

---

Density functional theory data (GGA-PBE) for an optimized crystal structure of Al2GeS.

abc: 5.610 5.610 6.945
angles: 66.18 66.18 90.00
Fractional positions:
Ge  0.000  0.000  0.000
Ge  0.750  0.250  0.500
S  0.500  0.500  0.000
S  0.250  0.750  0.500
Al  0.625  0.125  0.250
Al  0.125  0.625  0.250
Al  0.375  0.375  0.750
Al  0.875  0.875  0.750

Crystal system: tetragonal
Formation energy without anion corrections, eV per atom: -0.38
Distance to the lowest polymorph of the same formula, meV per atom: 0
Mass density, g/cm³: 2.94

---

Density functional theory data (GGA-PBE) for an optimized crystal structure of CaSbAs2.

abc: 3.896 3.896 6.204
angles: 90.00 90.00 90.00
Fractional positions:
Sb  0.500  0.500  0.750
As  0.000  0.000  0.000
As  0.000  0.000  0.500
Ca  0.500  0.500  0.250

Crystal system: tetragonal
Formation energy without anion corrections, eV per atom: -0.27
Mass density, g/cm³: 5.50

---

Density functional theory data (GGA-PBE) for an optimized crystal structure of MgP2S.

abc: 4.545 4.545 4.545
angles: 60.00 60.00 60.00
Fractional positions:
P  0.250  0.250  0.250
P  0.750  0.750  0.750
S  0.500  0.500  0.500
Mg  0.000  0.000  0.000

Crystal system: cubic
Formation energy without anion corrections, eV per atom: 0.54
Distance to the lowest polymorph of the same formula, meV per atom: 283
Mass density, g/cm³: 2.96

---

Density functional theory data (GGA-PBE) for an optimized crystal structure of HgTe2Au.

abc: 4.072 7.080 4.051
angles: 90.00 90.00 90.00
Fractional positions:
Au  0.500  0.000  0.500
Hg  0.000  0.500  0.500
Te  0.000  0.000  0.000
Te  0.500  0.500  0.000

Crystal system: orthorhombic
Formation energy without anion corrections, eV per atom: 0.17
Mass density, g/cm³: 9.28

---

- What is the formula in the fifth record?
  MgP2S